The following is a PBE-GGA calculation of LaDyEr after structural relaxation, from OQMD via LeMat-Bulk.

Values from the calculation:
The density is 6.66 g/cm³. The value obtained for the total magnetic moment is 0.01 μB per cell. The value obtained for the energy above the most stable polymorph in this dataset is 0.0 meV/atom. Its energy relative to the elements is 0.694 eV/atom.

Cell: 5.4886 5.4886 5.4886 Å, 60.00 60.00 60.00°
Fractional coordinates of all 3 atoms:
La: 0.0000 0.0000 0.0000
Dy: 0.5000 0.5000 0.5000
Er: 0.7500 0.7500 0.7500


The following is a PBE-GGA calculation of Li3Dy2ErPb3 after structural relaxation, from OQMD via LeMat-Bulk.

Values from the calculation:
The density is 8.80 g/cm³. The value obtained for the total magnetic moment is 0.00 μB per cell. The total energy comes out at -3.859 eV per atom.

Cell: 4.7877 4.7877 10.7848 Å, 90.00 90.00 120.00°
Fractional coordinates of all 9 atoms:
Li: 0.0000 0.0000 0.0000
Li: 0.3333 0.6667 0.3111
Li: 0.3333 0.6667 0.6889
Dy: 0.6667 0.3333 0.1653
Dy: 0.6667 0.3333 0.8347
Er: 0.6667 0.3333 0.5000
Pb: 0.0000 0.0000 0.3287
Pb: 0.0000 0.0000 0.6713
Pb: 0.3333 0.6667 0.0000


The following is a PBE-GGA calculation of DyErLu after structural relaxation, from OQMD via LeMat-Bulk.

Values from the calculation:
The density is 7.83 g/cm³. The value obtained for the total magnetic moment is 0.01 μB per cell. The value obtained for the energy above the most stable polymorph in this dataset is 0.0 meV/atom. Its energy relative to the elements is 0.716 eV/atom.

Cell: 5.3292 5.3292 5.3292 Å, 60.00 60.00 60.00°
Fractional coordinates of all 3 atoms:
Dy: 0.0000 0.0000 0.0000
Er: 0.5000 0.5000 0.5000
Lu: 0.2500 0.2500 0.2500


The following is a PBE-GGA calculation of Dy2Er3Lu3 after structural relaxation, from OQMD via LeMat-Bulk.

Values from the calculation:
The density is 9.29 g/cm³. The value obtained for the total magnetic moment is 0.14 μB per cell. Its energy relative to the elements is 0.001 eV/atom.

Cell: 5.5277 7.1024 7.1024 Å, 60.00 90.00 90.00°
Fractional coordinates of all 8 atoms:
Dy: 0.0000 0.0000 0.0000
Dy: 0.5000 0.3333 0.3333
Er: 0.0000 0.5005 0.9991
Er: 0.0000 0.9991 0.5005
Er: 0.5000 0.8329 0.8329
Lu: 0.0000 0.5005 0.5005
Lu: 0.5000 0.3343 0.8330
Lu: 0.5000 0.8330 0.3343


The following is a PBE-GGA calculation of Dy2ErLu5 after structural relaxation, from OQMD via LeMat-Bulk.

Values from the calculation:
The density is 9.51 g/cm³. The value obtained for the total magnetic moment is 0.04 μB per cell. Its energy relative to the elements is 0.000 eV/atom.

Cell: 5.5124 7.0725 7.0725 Å, 60.00 90.00 90.00°
Fractional coordinates of all 8 atoms:
Dy: 0.0000 0.0000 0.0000
Dy: 0.5000 0.3333 0.3333
Er: 0.0000 0.5004 0.5004
Lu: 0.0000 0.5003 0.9990
Lu: 0.0000 0.9990 0.5003
Lu: 0.5000 0.3343 0.8328
Lu: 0.5000 0.8328 0.3343
Lu: 0.5000 0.8328 0.8328


The following is a PBE-GGA calculation of Dy2Er3Lu3 after structural relaxation, from OQMD via LeMat-Bulk.

Values from the calculation:
The density is 9.29 g/cm³. The value obtained for the total magnetic moment is 0.00 μB per cell. Its energy relative to the elements is 0.001 eV/atom.

Cell: 7.1023 7.1023 5.5281 Å, 90.00 90.00 120.00°
Fractional coordinates of all 8 atoms:
Dy: 0.0000 0.0000 0.0000
Dy: 0.3333 0.6667 0.5000
Er: 0.5004 0.0008 0.0000
Er: 0.5004 0.4996 0.0000
Er: 0.9992 0.4996 0.0000
Lu: 0.3343 0.1672 0.5000
Lu: 0.8328 0.1672 0.5000
Lu: 0.8328 0.6657 0.5000


The following is a PBE-GGA calculation of Dy2Er3Lu2Ni2S2 after structural relaxation, from OQMD via LeMat-Bulk.

Values from the calculation:
The density is 9.10 g/cm³. The value obtained for the total magnetic moment is 0.01 μB per cell. The total energy comes out at -5.530 eV per atom.

Cell: 8.8111 8.8111 8.8111 Å, 155.53 67.54 118.16°
Fractional coordinates of all 11 atoms:
Dy: 0.1358 0.0000 0.1358
Dy: 0.8642 0.0000 0.8642
Er: 0.2232 0.8435 0.3797
Er: 0.4637 0.8435 0.6203
Er: 0.7471 0.2471 0.5000
Lu: 0.4524 0.6357 0.8167
Lu: 0.8190 0.6357 0.1833
Ni: 0.0694 0.3298 0.7396
Ni: 0.5902 0.3298 0.2604
S: 0.0940 0.5940 0.5000
S: 0.4998 0.4998 0.0000


The following is a PBE-GGA calculation of Dy2ErTm2Lu2Ni2S2 after structural relaxation, from OQMD via LeMat-Bulk.

Values from the calculation:
The density is 9.16 g/cm³. The value obtained for the total magnetic moment is 0.00 μB per cell. The total energy comes out at -5.515 eV per atom.

Cell: 8.8039 8.8039 8.8039 Å, 155.53 67.44 118.26°
Fractional coordinates of all 11 atoms:
Dy: 0.1358 0.0000 0.1358
Dy: 0.8642 0.0000 0.8642
Er: 0.7451 0.2451 0.5000
Tm: 0.2239 0.8440 0.3798
Tm: 0.4642 0.8440 0.6202
Lu: 0.4516 0.6357 0.8159
Lu: 0.8197 0.6357 0.1841
Ni: 0.0717 0.3303 0.7414
Ni: 0.5889 0.3303 0.2586
S: 0.0954 0.5954 0.5000
S: 0.4977 0.4977 0.0000